This record from the Alexandria database describes TbNd3Pb2C after structural relaxation. The functional is PBE.

Summary:
symmetry = No. 71
DOS at the Fermi energy = 1.041 states/eV/cell
energy of formation from the pure elements = -0.49 eV/atom
crystal system = orthorhombic

The structure in extended XYZ format:
```
7
Lattice="-1.907 -2.103 -4.000 -0.498 -4.319 2.508 -6.444 5.508 3.183" Properties=species:S:1:pos:R:3 pbc="T T T"
Tb -0.953 -1.051 -2.000
Nd -0.249 -2.160 1.254
Nd -2.444 0.734 0.779
Nd -6.405 -1.649 0.913
Pb -3.340 -2.569 -0.064
Pb -5.508 1.654 1.756
C 0.000 0.000 0.000
```



This record from the Alexandria database describes Nd3TmPb2C after structural relaxation. The functional is PBE.

Summary:
symmetry = No. 71
DOS at the Fermi energy = 1.032 states/eV/cell
energy of formation from the pure elements = -0.51 eV/atom
crystal system = orthorhombic

The structure in extended XYZ format:
```
7
Lattice="-3.155 2.479 -2.683 -2.001 -4.304 -1.624 -2.788 0.997 8.542" Properties=species:S:1:pos:R:3 pbc="T T T"
Nd -1.001 -2.152 -0.812
Nd -1.710 0.027 2.036
Nd -6.234 -0.854 2.200
Tm -1.577 1.240 -1.341
Pb -4.077 -0.888 -0.369
Pb -3.867 0.061 4.605
C 0.000 0.000 0.000
```



This record from the Alexandria database describes Nd2YPbC after structural relaxation. The functional is PBE.

Summary:
symmetry = No. 123
DOS at the Fermi energy = 2.401 states/eV/cell
energy of formation from the pure elements = -0.45 eV/atom
crystal system = tetragonal

The structure in extended XYZ format:
```
5
Lattice="-2.916 3.967 -0.326 -2.924 -2.433 -3.460 -2.942 -1.851 3.789" Properties=species:S:1:pos:R:3 pbc="T T T"
Nd -1.471 -0.926 1.894
Nd -1.462 -1.217 -1.730
Y -1.458 1.984 -0.163
Pb -4.391 -0.159 0.002
C 0.000 0.000 0.000
```



Number 1 is which compound?
TbNd3Pb2C